[1]
# TlCdAu2 PBE-GGA relaxed
# Raw total energy in eV/atom: -2.51
# Crystal system: monoclinic
# Density of states at the Fermi level in states/eV/f.u.: 0.858
# ΔE_f in eV/atom: -0.047
data_TlCdAu2
_chemical_formula_sum 'Tl1 Cd1 Au2'
_cell_length_a 3.126
_cell_length_b 3.773
_cell_length_c 7.425
_cell_angle_alpha 90.00
_cell_angle_beta 91.39
_cell_angle_gamma 90.00
_symmetry_space_group_name_H-M 'P 1 2/m 1'
_symmetry_Int_Tables_number 10
_symmetry_space_group_name_Hall '-P 2y'
loop_
_atom_site_label
_atom_site_fract_x
_atom_site_fract_y
_atom_site_fract_z
Tl1 0.000 0.000 0.000
Cd1 0.000 0.000 0.500
Au1 0.486 0.500 0.282


[2]
# TlCdAu2 PBE-GGA relaxed
# Raw total energy in eV/atom: -2.46
# Crystal system: monoclinic
# Density of states at the Fermi level in states/eV/f.u.: 0.961
# ΔE_f in eV/atom: -0.005
data_TlCdAu2
_chemical_formula_sum 'Tl2 Cd2 Au4'
_cell_length_a 7.975
_cell_length_b 3.828
_cell_length_c 6.537
_cell_angle_alpha 90.00
_cell_angle_beta 106.13
_cell_angle_gamma 90.00
_symmetry_space_group_name_H-M 'C 1 2/m 1'
_symmetry_Int_Tables_number 12
_symmetry_space_group_name_Hall '-C 2y'
loop_
_atom_site_label
_atom_site_fract_x
_atom_site_fract_y
_atom_site_fract_z
Tl1 0.000 0.000 0.000
Cd1 0.000 0.500 0.500
Au1 0.245 0.000 0.727


[3]
# Tl5CdAu2 PBE-GGA relaxed
# Raw total energy in eV/atom: -2.42
# Crystal system: orthorhombic
# Density of states at the Fermi level in states/eV/f.u.: 3.039
# ΔE_f in eV/atom: -0.005
data_Tl5CdAu2
_chemical_formula_sum 'Tl20 Cd4 Au8'
_cell_length_a 3.614
_cell_length_b 12.527
_cell_length_c 19.316
_cell_angle_alpha 90.00
_cell_angle_beta 90.00
_cell_angle_gamma 90.00
_symmetry_space_group_name_H-M 'C m c m'
_symmetry_Int_Tables_number 63
_symmetry_space_group_name_Hall '-C 2c 2'
loop_
_atom_site_label
_atom_site_fract_x
_atom_site_fract_y
_atom_site_fract_z
Tl1 0.000 0.063 0.090
Tl2 0.000 0.340 0.054
Tl3 0.000 0.398 0.250
Cd1 0.000 0.118 0.250
Au1 0.000 0.263 0.661


[4]
# Tl3CdAu PBE-GGA relaxed
# Raw total energy in eV/atom: -2.08
# Relative energy among the computed polymorphs in meV per atom: 162
# Crystal system: cubic
# Density of states at the Fermi level in states/eV/f.u.: 3.709
# ΔE_f in eV/atom: 0.175
data_Tl3CdAu
_chemical_formula_sum 'Tl3 Cd1 Au1'
_cell_length_a 5.574
_cell_length_b 5.574
_cell_length_c 5.574
_cell_angle_alpha 90.00
_cell_angle_beta 90.00
_cell_angle_gamma 90.00
_symmetry_space_group_name_H-M 'P m -3 m'
_symmetry_Int_Tables_number 221
_symmetry_space_group_name_Hall '-P 4 2 3'
loop_
_atom_site_label
_atom_site_fract_x
_atom_site_fract_y
_atom_site_fract_z
Tl1 0.000 0.000 0.500
Cd1 0.500 0.500 0.500
Au1 0.000 0.000 0.000


[5]
# TlCd8Au4 PBE-GGA relaxed
# Raw total energy in eV/atom: -1.87
# Crystal system: tetragonal
# Density of states at the Fermi level in states/eV/f.u.: 4.253
# ΔE_f in eV/atom: -0.115
data_TlCd8Au4
_chemical_formula_sum 'Tl2 Cd16 Au8'
_cell_length_a 10.052
_cell_length_b 10.052
_cell_length_c 5.633
_cell_angle_alpha 90.00
_cell_angle_beta 90.00
_cell_angle_gamma 90.00
_symmetry_space_group_name_H-M 'I 4/m m m'
_symmetry_Int_Tables_number 139
_symmetry_space_group_name_Hall '-I 4 2'
loop_
_atom_site_label
_atom_site_fract_x
_atom_site_fract_y
_atom_site_fract_z
Tl1 0.000 0.000 0.000
Cd1 0.000 0.216 0.500
Cd2 0.000 0.347 0.000
Au1 0.250 0.250 0.250


[6]
# Tl2CdAu PBE-GGA relaxed
# Raw total energy in eV/atom: -2.20
# Relative energy among the computed polymorphs in meV per atom: 50
# Crystal system: orthorhombic
# Density of states at the Fermi level in states/eV/f.u.: 0.572
# ΔE_f in eV/atom: 0.032
data_Tl2CdAu
_chemical_formula_sum 'Tl4 Cd2 Au2'
_cell_length_a 6.522
_cell_length_b 7.500
_cell_length_c 4.198
_cell_angle_alpha 90.00
_cell_angle_beta 90.00
_cell_angle_gamma 90.00
_symmetry_space_group_name_H-M 'C m m m'
_symmetry_Int_Tables_number 65
_symmetry_space_group_name_Hall '-C 2 2'
loop_
_atom_site_label
_atom_site_fract_x
_atom_site_fract_y
_atom_site_fract_z
Tl1 0.250 0.250 0.000
Cd1 0.000 0.000 0.500
Au1 0.000 0.500 0.500


[7]
# Tl2CdAu PBE-GGA relaxed
# Raw total energy in eV/atom: -2.24
# Relative energy among the computed polymorphs in meV per atom: 15
# Crystal system: trigonal
# Density of states at the Fermi level in states/eV/f.u.: 0.993
# ΔE_f in eV/atom: -0.004
data_Tl2CdAu
_chemical_formula_sum 'Tl6 Cd3 Au3'
_cell_length_a 3.5830
_cell_length_b 3.5830
_cell_length_c 28.4980
_cell_angle_alpha 90.00
_cell_angle_beta 90.00
_cell_angle_gamma 120.00
_symmetry_space_group_name_H-M 'R 3 m'
_symmetry_Int_Tables_number 160
_symmetry_space_group_name_Hall 'R 3 -2"'
loop_
_atom_site_label
_atom_site_fract_x
_atom_site_fract_y
_atom_site_fract_z
Tl1 0.0000 0.0000 0.0000
Tl2 0.0000 0.0000 0.2313
Cd1 0.0000 0.0000 0.7542
Au1 0.0000 0.0000 0.4894


[8]
# TlCdAu2 PBE-GGA relaxed
# Raw total energy in eV/atom: -2.46
# Crystal system: orthorhombic
# Density of states at the Fermi level in states/eV/f.u.: 0.894
# ΔE_f in eV/atom: 0.002
data_TlCdAu2
_chemical_formula_sum 'Tl2 Cd2 Au4'
_cell_length_a 6.124
_cell_length_b 7.461
_cell_length_c 3.769
_cell_angle_alpha 90.00
_cell_angle_beta 90.00
_cell_angle_gamma 90.00
_symmetry_space_group_name_H-M 'C m m m'
_symmetry_Int_Tables_number 65
_symmetry_space_group_name_Hall '-C 2 2'
loop_
_atom_site_label
_atom_site_fract_x
_atom_site_fract_y
_atom_site_fract_z
Tl1 0.000 0.000 0.000
Cd1 0.000 0.500 0.000
Au1 0.250 0.250 0.500


[9]
# TlCdAu2 PBE-GGA relaxed
# Raw total energy in eV/atom: -2.47
# Crystal system: tetragonal
# Density of states at the Fermi level in states/eV/f.u.: 1.437
# ΔE_f in eV/atom: -0.008
data_TlCdAu2
_chemical_formula_sum 'Tl1 Cd1 Au2'
_cell_length_a 5.367
_cell_length_b 5.367
_cell_length_c 3.022
_cell_angle_alpha 90.00
_cell_angle_beta 90.00
_cell_angle_gamma 90.00
_symmetry_space_group_name_H-M 'P 4/m m m'
_symmetry_Int_Tables_number 123
_symmetry_space_group_name_Hall '-P 4 2'
loop_
_atom_site_label
_atom_site_fract_x
_atom_site_fract_y
_atom_site_fract_z
Tl1 0.000 0.000 0.000
Cd1 0.500 0.500 0.000
Au1 0.000 0.500 0.500


[10]
# Tl2Cd2Au PBE-GGA relaxed
# Raw total energy in eV/atom: -1.71
# Relative energy among the computed polymorphs in meV per atom: 239
# Crystal system: tetragonal
# Density of states at the Fermi level in states/eV/f.u.: 2.166
# ΔE_f in eV/atom: 0.255
data_Tl2Cd2Au
_chemical_formula_sum 'Tl4 Cd4 Au2'
_cell_length_a 4.249
_cell_length_b 4.249
_cell_length_c 15.424
_cell_angle_alpha 90.00
_cell_angle_beta 90.00
_cell_angle_gamma 90.00
_symmetry_space_group_name_H-M 'I 4/m m m'
_symmetry_Int_Tables_number 139
_symmetry_space_group_name_Hall '-I 4 2'
loop_
_atom_site_label
_atom_site_fract_x
_atom_site_fract_y
_atom_site_fract_z
Tl1 0.000 0.500 0.250
Cd1 0.000 0.000 0.088
Au1 0.000 0.000 0.500


[11]
# Tl3CdAu8 PBE-GGA relaxed
# Raw total energy in eV/atom: -2.87
# Crystal system: trigonal
# Density of states at the Fermi level in states/eV/f.u.: 6.255
# ΔE_f in eV/atom: -0.013
data_Tl3CdAu8
_chemical_formula_sum 'Tl9 Cd3 Au24'
_cell_length_a 5.6769
_cell_length_b 5.6769
_cell_length_c 27.9493
_cell_angle_alpha 90.00
_cell_angle_beta 90.00
_cell_angle_gamma 120.00
_symmetry_space_group_name_H-M 'R 3 m'
_symmetry_Int_Tables_number 160
_symmetry_space_group_name_Hall 'R 3 -2"'
loop_
_atom_site_label
_atom_site_fract_x
_atom_site_fract_y
_atom_site_fract_z
Tl1 0.0000 0.0000 0.0000
Tl2 0.0000 0.0000 0.1254
Tl3 0.0000 0.0000 0.5026
Cd1 0.0000 0.0000 0.6264
Au1 0.0000 0.0000 0.3129
Au2 0.0000 0.0000 0.8131
Au3 0.0014 0.5007 0.5649
Au4 0.1677 0.3354 0.3948


[12]
# Tl2Cd2Au PBE-GGA relaxed
# Raw total energy in eV/atom: -1.95
# Relative energy among the computed polymorphs in meV per atom: 0
# Crystal system: tetragonal
# Density of states at the Fermi level in states/eV/f.u.: 2.466
# ΔE_f in eV/atom: 0.016
data_Tl2Cd2Au
_chemical_formula_sum 'Tl4 Cd4 Au2'
_cell_length_a 7.321
_cell_length_b 7.321
_cell_length_c 4.980
_cell_angle_alpha 90.00
_cell_angle_beta 90.00
_cell_angle_gamma 90.00
_symmetry_space_group_name_H-M 'P 4/m b m'
_symmetry_Int_Tables_number 127
_symmetry_space_group_name_Hall '-P 4 2ab'
loop_
_atom_site_label
_atom_site_fract_x
_atom_site_fract_y
_atom_site_fract_z
Tl1 0.170 0.330 0.000
Cd1 0.144 0.644 0.500
Au1 0.000 0.000 0.500


[13]
# Tl16Cd12Au PBE-GGA relaxed
# Raw total energy in eV/atom: -1.78
# Crystal system: monoclinic
# Density of states at the Fermi level in states/eV/f.u.: 10.508
# ΔE_f in eV/atom: 0.020
data_Tl16Cd12Au
_chemical_formula_sum 'Tl32 Cd24 Au2'
_cell_length_a 11.707
_cell_length_b 16.513
_cell_length_c 10.115
_cell_angle_alpha 90.00
_cell_angle_beta 125.30
_cell_angle_gamma 90.00
_symmetry_space_group_name_H-M 'C 1 m 1'
_symmetry_Int_Tables_number 8
_symmetry_space_group_name_Hall 'C -2y'
loop_
_atom_site_label
_atom_site_fract_x
_atom_site_fract_y
_atom_site_fract_z
Tl1 0.000 0.000 0.000
Tl2 0.002 0.322 0.697
Tl3 0.114 0.201 0.019
Tl4 0.276 0.378 0.680
Tl5 0.297 0.305 0.382
Tl6 0.307 0.000 0.045
Tl7 0.313 0.000 0.691
Tl8 0.371 0.346 0.100
Tl9 0.419 0.500 0.352
Tl10 0.470 0.159 0.293
Cd1 0.002 0.500 0.506
Cd2 0.050 0.091 0.704
Cd3 0.081 0.408 0.062
Cd4 0.135 0.188 0.515
Cd5 0.172 0.500 0.873
Cd6 0.225 0.093 0.343
Cd7 0.319 0.191 0.880
Au1 0.156 0.500 0.356


[14]
# Tl2CdAu PBE-GGA relaxed
# Raw total energy in eV/atom: -2.21
# Relative energy among the computed polymorphs in meV per atom: 42
# Crystal system: tetragonal
# Density of states at the Fermi level in states/eV/f.u.: 1.209
# ΔE_f in eV/atom: 0.024
data_Tl2CdAu
_chemical_formula_sum 'Tl2 Cd1 Au1'
_cell_length_a 3.483
_cell_length_b 3.483
_cell_length_c 8.570
_cell_angle_alpha 90.00
_cell_angle_beta 90.00
_cell_angle_gamma 90.00
_symmetry_space_group_name_H-M 'P 4/m m m'
_symmetry_Int_Tables_number 123
_symmetry_space_group_name_Hall '-P 4 2'
loop_
_atom_site_label
_atom_site_fract_x
_atom_site_fract_y
_atom_site_fract_z
Tl1 0.000 0.000 0.223
Cd1 0.500 0.500 0.500
Au1 0.500 0.500 0.000


[15]
# Tl2CdAu PBE-GGA relaxed
# Raw total energy in eV/atom: -2.25
# Relative energy among the computed polymorphs in meV per atom: 0
# Crystal system: monoclinic
# Density of states at the Fermi level in states/eV/f.u.: 1.512
# ΔE_f in eV/atom: -0.018
data_Tl2CdAu
_chemical_formula_sum 'Tl4 Cd2 Au2'
_cell_length_a 8.281
_cell_length_b 4.828
_cell_length_c 6.114
_cell_angle_alpha 90.00
_cell_angle_beta 116.87
_cell_angle_gamma 90.00
_symmetry_space_group_name_H-M 'C 1 m 1'
_symmetry_Int_Tables_number 8
_symmetry_space_group_name_Hall 'C -2y'
loop_
_atom_site_label
_atom_site_fract_x
_atom_site_fract_y
_atom_site_fract_z
Tl1 0.000 0.000 0.000
Tl2 0.220 0.000 0.653
Cd1 0.289 0.500 0.363
Au1 0.415 0.000 0.245


[16]
# Tl2CdAu PBE-GGA relaxed
# Raw total energy in eV/atom: -2.18
# Relative energy among the computed polymorphs in meV per atom: 72
# Crystal system: tetragonal
# Density of states at the Fermi level in states/eV/f.u.: 1.790
# ΔE_f in eV/atom: 0.053
data_Tl2CdAu
_chemical_formula_sum 'Tl8 Cd4 Au4'
_cell_length_a 8.517
_cell_length_b 8.517
_cell_length_c 6.099
_cell_angle_alpha 90.00
_cell_angle_beta 90.00
_cell_angle_gamma 90.00
_symmetry_space_group_name_H-M 'I -4 2 d'
_symmetry_Int_Tables_number 122
_symmetry_space_group_name_Hall 'I -4 2bw'
loop_
_atom_site_label
_atom_site_fract_x
_atom_site_fract_y
_atom_site_fract_z
Tl1 0.218 0.750 0.125
Cd1 0.000 0.000 0.500
Au1 0.000 0.000 0.000


[17]
# Tl2CdAu PBE-GGA relaxed
# Raw total energy in eV/atom: -2.17
# Relative energy among the computed polymorphs in meV per atom: 77
# Crystal system: cubic
# Density of states at the Fermi level in states/eV/f.u.: 1.403
# ΔE_f in eV/atom: 0.058
data_Tl2CdAu
_chemical_formula_sum 'Tl8 Cd4 Au4'
_cell_length_a 7.374
_cell_length_b 7.374
_cell_length_c 7.374
_cell_angle_alpha 90.00
_cell_angle_beta 90.00
_cell_angle_gamma 90.00
_symmetry_space_group_name_H-M 'F -4 3 m'
_symmetry_Int_Tables_number 216
_symmetry_space_group_name_Hall 'F -4 2 3'
loop_
_atom_site_label
_atom_site_fract_x
_atom_site_fract_y
_atom_site_fract_z
Tl1 0.000 0.000 0.000
Tl2 0.250 0.250 0.250
Cd1 0.250 0.250 0.750
Au1 0.000 0.000 0.500


[18]
# TlCdAu2 PBE-GGA relaxed
# Raw total energy in eV/atom: -2.53
# Crystal system: monoclinic
# Density of states at the Fermi level in states/eV/f.u.: 1.212
# ΔE_f in eV/atom: -0.070
data_TlCdAu2
_chemical_formula_sum 'Tl1 Cd1 Au2'
_cell_length_a 3.727
_cell_length_b 4.406
_cell_length_c 5.693
_cell_angle_alpha 90.00
_cell_angle_beta 105.47
_cell_angle_gamma 90.00
_symmetry_space_group_name_H-M 'P 1 m 1'
_symmetry_Int_Tables_number 6
_symmetry_space_group_name_Hall 'P -2y'
loop_
_atom_site_label
_atom_site_fract_x
_atom_site_fract_y
_atom_site_fract_z
Tl1 0.000 0.000 0.000
Cd1 0.299 0.500 0.605
Au1 0.551 0.500 0.143
Au2 0.753 0.000 0.481


[19]
# TlCd6Au3 PBE-GGA relaxed
# Raw total energy in eV/atom: -1.86
# Crystal system: monoclinic
# Density of states at the Fermi level in states/eV/f.u.: 3.150
# ΔE_f in eV/atom: -0.096
data_TlCd6Au3
_chemical_formula_sum 'Tl2 Cd12 Au6'
_cell_length_a 8.680
_cell_length_b 4.666
_cell_length_c 11.287
_cell_angle_alpha 90.00
_cell_angle_beta 97.27
_cell_angle_gamma 90.00
_symmetry_space_group_name_H-M 'P 1 21/m 1'
_symmetry_Int_Tables_number 11
_symmetry_space_group_name_Hall '-P 2yb'
loop_
_atom_site_label
_atom_site_fract_x
_atom_site_fract_y
_atom_site_fract_z
Tl1 0.053 0.250 0.265
Cd1 0.095 0.250 0.590
Cd2 0.136 0.750 0.021
Cd3 0.320 0.750 0.279
Cd4 0.324 0.750 0.763
Cd5 0.409 0.250 0.447
Cd6 0.474 0.250 0.912
Au1 0.146 0.250 0.863
Au2 0.245 0.750 0.513
Au3 0.346 0.250 0.134


[20]
# TlCd9Au2 PBE-GGA relaxed
# Raw total energy in eV/atom: -1.51
# Crystal system: tetragonal
# Density of states at the Fermi level in states/eV/f.u.: 3.420
# ΔE_f in eV/atom: -0.082
data_TlCd9Au2
_chemical_formula_sum 'Tl4 Cd36 Au8'
_cell_length_a 12.030
_cell_length_b 12.030
_cell_length_c 7.696
_cell_angle_alpha 90.00
_cell_angle_beta 90.00
_cell_angle_gamma 90.00
_symmetry_space_group_name_H-M 'I 41/a m d'
_symmetry_Int_Tables_number 141
loop_
_symmetry_equiv_pos_as_xyz
'x,y,z'
'-x,-y,-z'
'-y+1/4,x+3/4,z+1/4'
'y+1/4,-x+3/4,-z+1/4'
'-x+1/2,-y,z+1/2'
'x+1/2,y,-z+1/2'
'y+1/4,-x+1/4,z+3/4'
'-y+1/4,x+1/4,-z+3/4'
'x,-y,-z'
'-x,y,z'
'-y+1/4,-x+1/4,-z+3/4'
'y+1/4,x+1/4,z+3/4'
'-x+1/2,y,-z+1/2'
'x+1/2,-y,z+1/2'
'y+1/4,x+3/4,-z+1/4'
'-y+1/4,-x+3/4,z+1/4'
'x+1/2,y+1/2,z+1/2'
'-x+1/2,-y+1/2,-z+1/2'
'-y+3/4,x+1/4,z+3/4'
'y+3/4,-x+1/4,-z+3/4'
'-x,-y+1/2,z'
'x,y+1/2,-z'
'y+3/4,-x+3/4,z+1/4'
'-y+3/4,x+3/4,-z+1/4'
'x+1/2,-y+1/2,-z+1/2'
'-x+1/2,y+1/2,z+1/2'
'-y+3/4,-x+3/4,-z+1/4'
'y+3/4,x+3/4,z+1/4'
'-x,y+1/2,-z'
'x,-y+1/2,z'
'y+3/4,x+1/4,-z+3/4'
'-y+3/4,-x+1/4,z+3/4'
loop_
_atom_site_label
_atom_site_fract_x
_atom_site_fract_y
_atom_site_fract_z
Tl1 0.000 0.250 0.375
Cd1 0.000 0.250 0.875
Cd2 0.121 0.049 0.677
Au1 0.000 0.000 0.000